No. 1
SrNb2CuO7 | PBE | relaxed

Cell lengths 9.6598, 9.6598, 9.6598 Å; angles 156.28, 156.28, 33.79 degrees
Positions (direct):
O 0.6064 0.1064 0.5000
O 0.8936 0.3936 0.5000
O 0.1000 0.6000 0.5000
O 0.7202 0.7202 0.0000
O 0.4000 0.9000 0.5000
O 0.5000 0.5000 0.0000
O 0.2798 0.2798 0.0000
Cu 0.7500 0.2500 0.5000
Sr 0.0000 0.0000 0.0000
Nb 0.6156 0.6156 0.0000
Nb 0.3844 0.3844 0.0000

Calculated values
N(E_F) in states/eV/cell: 1.30
Formation energy (no corrections) in kJ/mol of atoms: -218.00

No. 2
Sr3NbCu2O9 | PBE | relaxed

Cell lengths 5.5831, 5.5831, 6.8513 Å; angles 90.00, 90.00, 120.00 degrees
Positions (direct):
O 0.6650 0.8325 0.3312
O 0.0000 0.5000 0.0000
O 0.5000 0.5000 0.0000
O 0.8325 0.1675 0.6688
O 0.1675 0.8325 0.3312
O 0.8325 0.6650 0.6688
O 0.3350 0.1675 0.6688
O 0.1675 0.3350 0.3312
O 0.5000 0.0000 0.0000
Cu 0.6667 0.3333 0.8372
Cu 0.3333 0.6667 0.1628
Sr 0.3333 0.6667 0.6872
Sr 0.0000 0.0000 0.0000
Sr 0.6667 0.3333 0.3128
Nb 0.0000 0.0000 0.5000

Calculated values
N(E_F) in states/eV/cell: 8.77
Formation energy (no corrections) in kJ/mol of atoms: -186.96

No. 3
SrNbCuO5 | PBE | relaxed

Cell lengths 5.7576, 5.7576, 7.5975 Å; angles 100.59, 100.59, 113.27 degrees
Positions (direct):
O 0.3689 0.2897 0.0745
O 0.9369 0.0631 0.7500
O 0.7374 0.1371 0.4132
O 0.8629 0.2626 0.0868
O 0.0631 0.9369 0.2500
O 0.7103 0.6311 0.4255
O 0.1371 0.7374 0.9132
O 0.2897 0.3689 0.5745
O 0.6311 0.7103 0.9255
O 0.2626 0.8629 0.5868
Cu 0.6714 0.3286 0.2500
Cu 0.3286 0.6714 0.7500
Nb 0.0000 0.0000 0.0000
Nb 0.0000 0.0000 0.5000
Sr 0.6764 0.3236 0.7500
Sr 0.3236 0.6764 0.2500

Calculated values
N(E_F) in states/eV/cell: 9.51
Formation energy (no corrections) in kJ/mol of atoms: -189.40

No. 4
SrNb4Cu3O12 | PBE | relaxed

Cell lengths 6.7217, 6.7217, 6.7217 Å; angles 109.47, 109.47, 109.47 degrees
Positions (direct):
O 0.2985 0.8176 0.1162
O 0.7015 0.8176 0.5191
O 0.8176 0.1162 0.2985
O 0.5191 0.7015 0.8176
O 0.8176 0.5191 0.7015
O 0.4809 0.2985 0.1824
O 0.2985 0.1824 0.4809
O 0.7015 0.1824 0.8838
O 0.1162 0.2985 0.8176
O 0.1824 0.8838 0.7015
O 0.8838 0.7015 0.1824
O 0.1824 0.4809 0.2985
Nb 0.5000 0.5000 0.5000
Nb 0.0000 0.0000 0.5000
Nb 0.5000 0.0000 0.0000
Nb 0.0000 0.5000 0.0000
Sr 0.0000 0.0000 0.0000
Cu 0.0000 0.5000 0.5000
Cu 0.5000 0.5000 0.0000
Cu 0.5000 0.0000 0.5000

Calculated values
N(E_F) in states/eV/cell: 4.01
Formation energy (no corrections) in kJ/mol of atoms: -198.53

No. 5
TaNbCuO6 | PBE | relaxed

Cell lengths 5.2377, 5.2377, 8.9729 Å; angles 90.00, 90.00, 120.00 degrees
Positions (direct):
O 0.3497 0.3472 0.8684
O 0.3497 0.0025 0.6316
O 0.0025 0.3497 0.1316
O 0.6528 0.6503 0.6316
O 0.9975 0.6503 0.8684
O 0.3472 0.9975 0.1316
O 0.6503 0.6528 0.1316
O 0.6528 0.0025 0.8684
O 0.6503 0.9975 0.3684
O 0.0025 0.6528 0.3684
O 0.9975 0.3472 0.6316
O 0.3472 0.3497 0.3684
Cu 0.0000 0.0000 0.0000
Cu 0.0000 0.0000 0.5000
Nb 0.6667 0.3333 0.2500
Nb 0.3333 0.6667 0.7500
Ta 0.3333 0.6667 0.2500
Ta 0.6667 0.3333 0.7500

Calculated values
N(E_F) in states/eV/cell: 7.62
Formation energy (no corrections) in kJ/mol of atoms: -199.65

No. 6
NbCuTcO6 | PBE | relaxed

Cell lengths 5.1188, 5.1188, 9.0512 Å; angles 90.00, 90.00, 120.00 degrees
Positions (direct):
O 0.3504 0.3426 0.8694
O 0.6496 0.9922 0.3694
O 0.9922 0.3426 0.6306
O 0.0078 0.3504 0.1306
O 0.6574 0.0078 0.8694
O 0.6574 0.6496 0.6306
O 0.6496 0.6574 0.1306
O 0.3426 0.3504 0.3694
O 0.3426 0.9922 0.1306
O 0.0078 0.6574 0.3694
O 0.3504 0.0078 0.6306
O 0.9922 0.6496 0.8694
Nb 0.3333 0.6667 0.7500
Nb 0.6667 0.3333 0.2500
Tc 0.6667 0.3333 0.7500
Tc 0.3333 0.6667 0.2500
Cu 0.0000 0.0000 0.0000
Cu 0.0000 0.0000 0.5000

Calculated values
N(E_F) in states/eV/cell: 6.77
Formation energy (no corrections) in kJ/mol of atoms: -147.34

No. 7
Ti3NbCu3O12 | PBE | relaxed

Cell lengths 6.4697, 6.4697, 6.4697 Å; angles 109.66, 109.66, 109.66 degrees
Positions (direct):
O 0.6880 0.8248 0.5088
O 0.8248 0.5088 0.6880
O 0.5088 0.6880 0.8248
O 0.6866 0.1800 0.8662
O 0.1752 0.4912 0.3120
O 0.1338 0.3134 0.8200
O 0.3134 0.8200 0.1338
O 0.3120 0.1752 0.4912
O 0.8200 0.1338 0.3134
O 0.1800 0.8662 0.6866
O 0.4912 0.3120 0.1752
O 0.8662 0.6866 0.1800
Ti 0.0000 0.0000 0.5000
Ti 0.5000 0.0000 0.0000
Ti 0.0000 0.5000 0.0000
Cu 0.5000 0.0000 0.5000
Cu 0.0000 0.5000 0.5000
Cu 0.5000 0.5000 0.0000
Nb 0.5000 0.5000 0.5000

Calculated values
N(E_F) in states/eV/cell: 7.63
Formation energy (no corrections) in kJ/mol of atoms: -194.29

No. 8
NbTl2CuO4 | PBE | relaxed

Cell lengths 6.0757, 6.0757, 6.0757 Å; angles 83.48, 123.83, 123.83 degrees
Positions (direct):
Nb 0.5000 0.2500 0.7500
O 0.6062 0.3673 0.4993
O 0.1320 0.2389 0.6327
O 0.8680 0.5007 0.1069
O 0.3938 0.8931 0.7611
Tl 0.5000 0.7500 0.2500
Tl 0.0000 0.0000 0.0000
Cu 0.0000 0.5000 0.5000

Calculated values
Formation energy (no corrections) in kJ/mol of atoms: -134.06